(1)
Density functional theory data (GGA-PBEsol) for an optimized crystal structure of RuClF2.

Computed properties:
Crystal system: cubic
Symmetry: Fm-3m

Structure (POSCAR):
```
RuClF2
1.0
-1.1543 3.7602 -1.2999
-2.3891 2.3803 2.4058
1.5819 3.3857 1.7879
Ru F Cl
1 2 1
Direct
0.5000 0.5000 0.5000 Ru
0.2500 0.2500 0.2500 F
0.7500 0.7500 0.7500 F
0.0000 0.0000 0.0000 Cl
```

(2)
Density functional theory data (GGA-PBEsol) for an optimized crystal structure of RuS2ClF.

Computed properties:
Crystal system: tetragonal
Symmetry: P4/mmm

Structure (POSCAR):
```
RuS2ClF
1.0
-0.3920 3.5470 1.8895
-2.2941 1.3613 -3.0314
-4.3245 -1.7924 2.4677
S Cl Ru F
2 1 1 1
Direct
0.5000 0.0000 0.0000 S
0.0000 0.5000 0.0000 S
0.0000 0.0000 0.5000 Cl
0.5000 0.5000 0.5000 Ru
0.0000 0.0000 0.0000 F
```

(3)
Density functional theory data (GGA-PBEsol) for an optimized crystal structure of Zn2RuClF.

Computed properties:
Crystal system: tetragonal
Symmetry: P4/mmm

Structure (POSCAR):
```
Zn2RuClF
1.0
-2.6018 3.4198 0.2874
-3.1328 -2.5357 1.8123
1.6083 0.8858 4.0196
Zn Ru Cl F
2 1 1 1
Direct
0.0000 0.0000 0.5000 Zn
0.0000 0.5000 0.0000 Zn
0.5000 0.0000 0.0000 Ru
0.5000 0.5000 0.5000 Cl
0.0000 0.0000 0.0000 F
```

(4)
Density functional theory data (GGA-PBEsol) for an optimized crystal structure of SiS2ClF.

Computed properties:
Crystal system: tetragonal
Symmetry: P4/mmm

Structure (POSCAR):
```
SiS2ClF
1.0
-1.8612 -3.4898 -0.9511
0.4701 -1.2939 3.8278
-4.7193 2.1600 1.3097
S Si Cl F
2 1 1 1
Direct
0.5000 0.0000 0.0000 S
0.0000 0.5000 0.0000 S
0.5000 0.5000 0.5000 Si
0.0000 0.0000 0.5000 Cl
0.0000 0.0000 0.0000 F
```

(5)
Density functional theory data (GGA-PBEsol) for an optimized crystal structure of Sb4Cl13F7.

Computed properties:
Crystal system: triclinic
Symmetry: P1

Structure (POSCAR):
```
Sb4Cl13F7
1.0
-4.1225 -5.4436 -2.6932
4.3418 -8.8511 1.7573
-6.5124 -3.2232 7.0008
Cl F Sb
13 7 4
Direct
0.2085 0.5028 0.0944 Cl
0.9525 0.7026 0.4090 Cl
0.7142 0.7512 0.1540 Cl
0.7530 0.0935 0.4879 Cl
0.9313 0.8186 0.7298 Cl
0.0782 0.2991 0.5925 Cl
0.4744 0.1605 0.2531 Cl
0.6902 0.4096 0.2850 Cl
0.4620 0.8868 0.8178 Cl
0.3470 0.9078 0.5092 Cl
0.4107 0.5899 0.7140 Cl
0.6319 0.2453 0.8301 Cl
0.8116 0.4955 0.9089 Cl
0.0901 0.8030 0.9595 F
0.1872 0.2252 0.8667 F
0.8952 0.9554 0.1949 F
0.0451 0.0452 0.8011 F
0.0678 0.1393 0.2066 F
0.8463 0.1929 0.0399 F
0.2682 0.7784 0.1491 F
0.0294 0.7343 0.1680 Sb
0.2358 0.8318 0.7397 Sb
0.9368 0.2639 0.8309 Sb
0.7836 0.1673 0.2581 Sb
```

(6)
Density functional theory data (GGA-PBEsol) for an optimized crystal structure of Sb3Cl11F4.

Computed properties:
Crystal system: monoclinic
Symmetry: P2_1/c

Structure (POSCAR):
```
Sb3Cl11F4
1.0
9.7001 -0.0429 0.0000
-2.9537 12.2020 0.0000
0.0000 0.0000 16.9025
Cl Sb F
44 12 16
Direct
0.3578 0.1350 0.8358 Cl
0.6427 0.9313 0.3885 Cl
0.5637 0.9402 0.7441 Cl
0.8514 0.0884 0.0746 Cl
0.5826 0.8916 0.9527 Cl
0.4597 0.2216 0.4451 Cl
0.6422 0.8650 0.1642 Cl
0.7139 0.2719 0.8548 Cl
0.6486 0.4116 0.5746 Cl
0.2871 0.8428 0.4194 Cl
0.1427 0.4313 0.1115 Cl
0.4185 0.3103 0.1850 Cl
0.8708 0.0329 0.8480 Cl
0.9363 0.5598 0.2441 Cl
0.4174 0.1084 0.0473 Cl
0.2139 0.7719 0.6452 Cl
0.3708 0.5329 0.6520 Cl
0.1292 0.9671 0.1520 Cl
0.9423 0.8918 0.5718 Cl
0.0403 0.2784 0.9451 Cl
0.8573 0.5687 0.8885 Cl
0.0826 0.3916 0.5473 Cl
0.1486 0.9116 0.9254 Cl
0.5577 0.6082 0.0718 Cl
0.2861 0.7281 0.1452 Cl
0.7871 0.3428 0.0806 Cl
0.5403 0.7784 0.5549 Cl
0.9597 0.7216 0.0549 Cl
0.8578 0.6350 0.6642 Cl
0.3573 0.0687 0.6115 Cl
0.6292 0.4671 0.3480 Cl
0.3514 0.5884 0.4254 Cl
0.0577 0.1082 0.4282 Cl
0.0815 0.1897 0.6850 Cl
0.7129 0.1572 0.5806 Cl
0.4363 0.0598 0.2559 Cl
0.0637 0.4402 0.7559 Cl
0.5815 0.6897 0.8150 Cl
0.9185 0.8103 0.3150 Cl
0.2129 0.6572 0.9194 Cl
0.1422 0.3650 0.3358 Cl
0.4423 0.3918 0.9282 Cl
0.9174 0.6084 0.4527 Cl
0.7861 0.2281 0.3548 Cl
0.6974 0.8713 0.8359 Sb
0.9837 0.2683 0.0786 Sb
0.9982 0.1920 0.3161 Sb
0.0018 0.8080 0.6839 Sb
0.1974 0.3713 0.6641 Sb
0.5018 0.3080 0.8161 Sb
0.5163 0.2317 0.5786 Sb
0.4982 0.6920 0.1839 Sb
0.4837 0.7683 0.4214 Sb
0.8026 0.6287 0.3359 Sb
0.3026 0.1287 0.1641 Sb
0.0163 0.7317 0.9214 Sb
0.4657 0.7493 0.2968 F
0.6571 0.6970 0.4008 F
0.9070 0.0561 0.2691 F
0.6741 0.6594 0.2401 F
0.3259 0.3406 0.7599 F
0.8259 0.8406 0.7401 F
0.1741 0.1594 0.2599 F
0.0930 0.9439 0.7309 F
0.8429 0.8030 0.9008 F
0.4070 0.5561 0.2309 F
0.0343 0.7507 0.7968 F
0.3429 0.3030 0.5992 F
0.5930 0.4439 0.7691 F
0.9657 0.2493 0.2032 F
0.5343 0.2507 0.7032 F
0.1571 0.1970 0.0992 F
```

(7)
Density functional theory data (GGA-PBEsol) for an optimized crystal structure of SbCl3F2.

Computed properties:
Crystal system: tetragonal
Symmetry: I4

Structure (POSCAR):
```
SbCl3F2
1.0
7.0954 0.0000 0.0000
3.5477 9.4138 0.0000
3.5477 0.0000 9.4138
F Sb Cl
8 4 12
Direct
0.0816 0.0420 0.8047 F
0.9093 0.8599 0.7826 F
0.1235 0.8047 0.9580 F
0.5519 0.1401 0.2174 F
0.6920 0.2174 0.8599 F
0.7692 0.7826 0.1401 F
0.9282 0.9580 0.1953 F
0.8863 0.1953 0.0420 F
0.2036 0.8307 0.7378 Sb
0.0343 0.7378 0.1693 Sb
0.9414 0.2622 0.8307 Sb
0.7721 0.1693 0.2622 Sb
0.2701 0.2478 0.8372 Cl
0.0112 0.2910 0.5892 Cl
0.3551 0.7522 0.1628 Cl
0.6608 0.0945 0.4936 Cl
0.1073 0.1628 0.2478 Cl
0.6004 0.4108 0.2910 Cl
0.5179 0.8372 0.7522 Cl
0.1544 0.5064 0.0945 Cl
0.2489 0.9055 0.5064 Cl
0.3021 0.5892 0.7090 Cl
0.8914 0.7090 0.4108 Cl
0.7552 0.4936 0.9055 Cl
```

(8)
Density functional theory data (GGA-PBEsol) for an optimized crystal structure of SbClF8.

Computed properties:
Crystal system: triclinic
Symmetry: P-1

Structure (POSCAR):
```
SbClF8
1.0
-1.0551 -4.5514 2.5566
3.1078 1.9474 4.2193
-8.4281 4.6578 3.8991
Sb F Cl
2 16 2
Direct
0.0000 0.0000 0.5000 Sb
0.0000 0.0000 0.0000 Sb
0.7224 0.0376 0.1047 F
0.1564 0.3012 0.0698 F
0.5538 0.4229 0.3762 F
0.1333 0.7276 0.4237 F
0.4462 0.5771 0.6238 F
0.8436 0.6988 0.9302 F
0.1002 0.1966 0.3539 F
0.3103 0.0723 0.5896 F
0.8399 0.1724 0.8671 F
0.8667 0.2724 0.5763 F
0.2776 0.9624 0.8953 F
0.4158 0.4912 0.8456 F
0.1601 0.8276 0.1329 F
0.5842 0.5088 0.1544 F
0.6897 0.9277 0.4104 F
0.8998 0.8034 0.6461 F
0.3895 0.3723 0.2451 Cl
0.6105 0.6277 0.7549 Cl
```

Computed values of magnetization (unit: μB per formula unit) for the preceding records, in sequence: 4.8; 4.1; 1.9; 0.0; 0.0; 0.0; 0.0; 0.0.
Computed values of formation energy from raw total energies (unit: kJ per mole of atoms) for the preceding records, in sequence: -8; 97; 39; 44; -118; -106; -126; -161.
Computed values of E (unit: eV per formula unit) for the preceding records, in sequence: -16.356; -17.860; -15.258; -16.162; -87.277; -63.175; -22.289; -38.638.